Crystalline Pr4ZnAu7 at its relaxed geometry. Source: Alexandria, functional PBE.

As for the formation energy: -14.6 kcal/mol of atoms. As for the size of the total moment: 0.00 Bohr magnetons per cell. The calculated total energy is -4.245 eV per atom. As for the crystal system: monoclinic.

The structure belongs to space group C2/m (No. 12); the cell edges are 14.9731, 4.9926 and 9.3517 Å and the angles 90.00°, 121.29° and 90.00°. Symmetry generates all atoms from Pr at (0.0630, 0.0000, 0.2511), Pr at (0.2281, 0.0000, 0.7588), Zn at (0.0000, 0.5000, 0.5000), Au at (0.0000, 0.0000, 0.5000), Au at (0.1015, 0.5000, 0.8422), Au at (0.1644, 0.0000, 0.0420) and Au at (0.1892, 0.5000, 0.4908).